Computed, not measured: a relaxed Li5Si2NiO8 crystal at the PBE with a Hubbard U level of DFT.

Cell lengths 5.227, 5.227, 6.292 Å; angles 90.16, 90.16, 90.64 degrees
Fractional positions:
Li 0.000 0.000 0.000
Li 0.353 0.647 0.000
Li 0.513 0.113 0.240
Li 0.887 0.487 0.760
Li 0.991 0.009 0.500
Si 0.511 0.133 0.753
Si 0.867 0.489 0.247
Ni 0.361 0.639 0.500
O 0.002 0.618 0.466
O 0.378 0.019 0.965
O 0.382 0.998 0.534
O 0.453 0.453 0.736
O 0.547 0.547 0.264
O 0.820 0.117 0.748
O 0.883 0.180 0.252
O 0.981 0.622 0.035

Summary:
Space-group type = No. 5
Mass density = 2.68 Mg/m³
Total DFT energy (no corrections) = -97.44 eV per cell